# K2SiW | Alexandria | GGA-PBE | relaxed
# ρ ... 5534 kg/m³
# Uncorrected formation energy ... 1.22 eV per atom
data_K2SiW
_chemical_formula_sum 'K2 Si1 W1'
_symmetry_space_group_name_H-M 'P 4/m m m'
_symmetry_Int_Tables_number 123
_symmetry_space_group_name_Hall '-P 4 2'
_cell_length_a 3.864
_cell_length_b 3.864
_cell_length_c 5.830
_cell_angle_alpha 90.00
_cell_angle_beta 90.00
_cell_angle_gamma 90.00
loop_
_atom_site_label
_atom_site_type_symbol
_atom_site_fract_x
_atom_site_fract_y
_atom_site_fract_z
K1 K 0.000 0.500 0.000
Si1 Si 0.000 0.000 0.500
W1 W 0.500 0.500 0.500

# CeTlHgBi | Alexandria | GGA-PBE | relaxed
# ρ ... 10492 kg/m³
# Offset from the most stable computed form ... 0.132 eV/atom
data_CeTlHgBi
_chemical_formula_sum 'Ce4 Tl4 Hg4 Bi4'
_symmetry_space_group_name_H-M 'F -4 3 m'
_symmetry_Int_Tables_number 216
_symmetry_space_group_name_Hall 'F -4 2 3'
_cell_length_a 7.815
_cell_length_b 7.815
_cell_length_c 7.815
_cell_angle_alpha 90.00
_cell_angle_beta 90.00
_cell_angle_gamma 90.00
loop_
_atom_site_label
_atom_site_type_symbol
_atom_site_fract_x
_atom_site_fract_y
_atom_site_fract_z
Ce1 Ce 0.000 0.000 0.000
Tl1 Tl 0.000 0.000 0.500
Hg1 Hg 0.250 0.250 0.750
Bi1 Bi 0.250 0.250 0.250